[1]
Here is a relaxed structure of CsNaZnO2 from Alexandria via LeMat-Bulk. Energies are from PBE.

abc: 5.402 5.950 7.083
angles: 114.84 90.00 90.00
Element x y z (fractional)
1 O 0.248 0.092 0.184
2 O 0.248 0.408 0.816
3 O 0.752 0.908 0.816
4 O 0.752 0.592 0.184
5 Zn 0.000 0.000 0.000
6 Zn 0.000 0.500 0.000
7 Cs 0.254 0.750 0.500
8 Cs 0.746 0.250 0.500
9 Na 0.500 0.250 0.000
10 Na 0.500 0.750 0.000

## Properties
SG: Cmme (67)
Formation energy (no corrections) in kJ per mole of atoms: -120.4


[2]
Here is a relaxed structure of Cs2NaOs from Alexandria via LeMat-Bulk. Energies are from PBE.

abc: 9.191 9.191 9.191
angles: 60.00 60.00 60.00
Last column: magnetic moment on the atom in μB.
Element x y z (fractional)
1 Cs 0.625 0.625 0.625  0.01
2 Cs 0.125 0.625 0.625  0.01
3 Cs 0.625 0.125 0.625  0.01
4 Cs 0.625 0.625 0.125  0.01
5 Na 0.000 0.000 0.000  -0.01
6 Na 0.250 0.250 0.250  -0.01
7 Os 0.750 0.750 0.750  0.74
8 Os 0.500 0.500 0.500  0.74

## Properties
DFT formation energy in kcal/mol of atoms: 36.72
SG: Fd-3m (227)


[3]
Here is a relaxed structure of CsNa3Os from Alexandria via LeMat-Bulk. Energies are from PBE.

abc: 5.878 5.878 5.878
angles: 90.00 90.00 90.00
Last column: magnetic moment on the atom in μB.
Element x y z (fractional)
1 Na 0.000 0.500 0.000  -0.01
2 Na 0.500 0.000 0.000  0.01
3 Na 0.000 0.000 0.500  -0.01
4 Cs 0.500 0.500 0.500  -0.01
5 Os 0.000 0.000 0.000  1.62

## Properties
DFT formation energy in kcal/mol of atoms: 24.19
SG: Pm-3m (221)


[4]
Here is a relaxed structure of Cs3NaOs from Alexandria via LeMat-Bulk. Energies are from PBE.

abc: 6.381 6.381 6.381
angles: 90.00 90.00 90.00
Last column: magnetic moment on the atom in μB.
Element x y z (fractional)
1 Na 0.500 0.500 0.500  0.00
2 Cs 0.000 0.000 0.500  0.00
3 Cs 0.500 0.000 0.000  0.00
4 Cs 0.000 0.500 0.000  0.00
5 Os 0.000 0.000 0.000  0.16

## Properties
DFT formation energy in kcal/mol of atoms: 24.67
SG: Pm-3m (221)
Excess energy over the best structure of this formula in the dataset in meV/atom: 0


[5]
Here is a relaxed structure of CsNaOs3 from Alexandria via LeMat-Bulk. Energies are from PBE.

abc: 4.984 4.984 4.984
angles: 90.00 90.00 90.00
Last column: magnetic moment on the atom in μB.
Element x y z (fractional)
1 Os 0.000 0.000 0.500  2.14
2 Os 0.000 0.500 0.000  2.37
3 Os 0.500 0.000 0.000  2.12
4 Cs 0.500 0.500 0.500  0.07
5 Na 0.000 0.000 0.000  0.01

## Properties
DFT formation energy in kcal/mol of atoms: 75.95
SG: Pm-3m (221)
Excess energy over the best structure of this formula in the dataset in meV/atom: 0


[6]
Here is a relaxed structure of CsNaOs3 from Alexandria via LeMat-Bulk. Energies are from PBE.

abc: 5.078 5.078 5.078
angles: 90.00 90.00 90.00
Last column: magnetic moment on the atom in μB.
Element x y z (fractional)
1 Os 0.000 0.000 0.500  1.65
2 Os 0.500 0.000 0.000  1.54
3 Os 0.000 0.500 0.000  1.83
4 Na 0.500 0.500 0.500  -0.01
5 Cs 0.000 0.000 0.000  0.01

## Properties
DFT formation energy in kcal/mol of atoms: 84.00
SG: Pm-3m (221)
Excess energy over the best structure of this formula in the dataset in meV/atom: 349


[7]
Here is a relaxed structure of Cs2NaZnOs from Alexandria via LeMat-Bulk. Energies are from PBE.

abc: 6.743 5.628 6.743
angles: 90.00 90.00 90.00
Last column: magnetic moment on the atom in μB.
Element x y z (fractional)
1 Cs 0.500 0.000 0.000  -0.01
2 Cs 0.000 0.000 0.500  -0.01
3 Os 0.500 0.500 0.500  2.44
4 Na 0.000 0.500 0.000  0.00
5 Zn 0.000 0.000 0.000  -0.01

## Properties
DFT formation energy in kcal/mol of atoms: 32.03
SG: P4/mmm (123)


[8]
Here is a relaxed structure of CsNa3P from Alexandria via LeMat-Bulk. Energies are from PBE.

abc: 6.087 6.087 6.087
angles: 90.00 90.00 90.00
Element x y z (fractional)
1 P 0.500 0.500 0.500
2 Na 0.000 0.500 0.000
3 Na 0.000 0.000 0.500
4 Na 0.500 0.000 0.000
5 Cs 0.000 0.000 0.000

## Properties
DFT formation energy in kcal/mol of atoms: 23.24
SG: Pm-3m (221)
Excess energy over the best structure of this formula in the dataset in meV/atom: 1153


[9]
Here is a relaxed structure of CsNa2P2 from Alexandria via LeMat-Bulk. Energies are from PBE.

abc: 8.406 8.406 4.062
angles: 90.00 90.00 90.00
Element x y z (fractional)
1 P 0.905 0.405 0.500
2 P 0.095 0.595 0.500
3 P 0.405 0.095 0.500
4 P 0.595 0.905 0.500
5 Na 0.141 0.359 0.000
6 Na 0.359 0.859 0.000
7 Na 0.859 0.641 0.000
8 Na 0.641 0.141 0.000
9 Cs 0.500 0.500 0.000
10 Cs 0.000 0.000 0.000

## Properties
DFT formation energy in kcal/mol of atoms: -2.99
SG: P4/mbm (127)
Excess energy over the best structure of this formula in the dataset in meV/atom: 185


[10]
Here is a relaxed structure of CsNa2P2 from Alexandria via LeMat-Bulk. Energies are from PBE.

abc: 8.525 8.525 4.363
angles: 90.00 90.00 90.00
Element x y z (fractional)
1 Cs 0.000 0.000 0.000
2 Cs 0.500 0.500 0.000
3 P 0.091 0.409 0.000
4 P 0.409 0.909 0.000
5 P 0.591 0.091 0.000
6 P 0.909 0.591 0.000
7 Na 0.636 0.864 0.500
8 Na 0.136 0.636 0.500
9 Na 0.864 0.364 0.500
10 Na 0.364 0.136 0.500

## Properties
DFT formation energy in kcal/mol of atoms: -3.78
SG: P4/mbm (127)
Excess energy over the best structure of this formula in the dataset in meV/atom: 150


[11]
Here is a relaxed structure of CsNaP from Alexandria via LeMat-Bulk. Energies are from PBE.

abc: 4.942 4.942 12.272
angles: 78.37 78.37 61.85
Last column: magnetic moment on the atom in μB.
Element x y z (fractional)
1 Na 0.837 0.837 0.947  0.00
2 Na 0.163 0.163 0.053  0.00
3 Cs 0.751 0.751 0.283  0.00
4 Cs 0.249 0.249 0.717  0.00
5 P 0.493 0.493 0.093  0.05
6 P 0.507 0.507 0.907  0.05

## Properties
DFT formation energy in kcal/mol of atoms: -6.34
SG: C2/m (12)
Excess energy over the best structure of this formula in the dataset in meV/atom: 0


[12]
Here is a relaxed structure of CsNa4P2 from Alexandria via LeMat-Bulk. Energies are from PBE.

abc: 5.130 5.112 8.593
angles: 107.30 90.00 90.00
Element x y z (fractional)
1 Na 0.000 0.340 0.679
2 Na 0.500 0.161 0.321
3 Na 0.000 0.660 0.321
4 Na 0.500 0.839 0.679
5 P 0.500 0.433 0.866
6 P 0.500 0.567 0.134
7 Cs 0.000 0.000 0.000

## Properties
DFT formation energy in kcal/mol of atoms: -4.58
SG: Cmmm (65)


no.,calculated total energy (eV per atom),calculated volume (Å³ per atom)
1,-3.92,20.66
2,-1.97,68.62
3,-2.16,40.62
4,-1.95,51.97
5,-3.88,24.76
6,-3.53,26.19
7,-1.72,51.18
8,-1.04,45.10
9,-2.99,28.70
10,-3.03,31.71
11,-2.80,42.81
12,-2.62,30.74